No. 1
Here is a relaxed structure of Al2SiPd2 from the Alexandria database. Energies are from PBEsol.

abc: 7.411 7.411 2.782
angles: 90.00 90.00 90.00
Space group P4/mbm (No. 127)
Unique sites:
Al  0.149  0.351  0.000 [4 per cell]
Si  0.000  0.000  0.000 [2 per cell]
Pd  0.144  0.644  0.500 [4 per cell]

Output
* offset from the most stable computed form: 0.1028 eV per atom
* E_form (uncorrected): -416.4 meV/atom
* total moment: 0.000 μB per atom


No. 2
Here is a relaxed structure of InCoAs3 from the Alexandria database. Energies are from PBEsol.

abc: 4.598 4.598 4.598
angles: 90.00 90.00 90.00
Space group Pm-3m (No. 221)
Unique sites:
In  0.000  0.000  0.000 [1 per cell]
Co  0.500  0.500  0.500 [1 per cell]
As  0.000  0.500  0.500 [3 per cell]

Output
* energy relative to the elements: 0.316 eV per atom
* total moment: 0.000 μB per atom


No. 3
Here is a relaxed structure of BeTc2 from the Alexandria database. Energies are from PBEsol.

abc: 2.810 12.720 4.146
angles: 90.00 90.00 90.00
Space group Cmcm (No. 63)
Unique sites:
Be  0.000  0.108  0.250 [4 per cell]
Tc  0.000  0.224  0.750 [4 per cell]
Tc  0.000  0.444  0.250 [4 per cell]

Output
* energy relative to the elements: -0.030 eV per atom
* offset from the most stable computed form: 0.2184 eV per atom
* total moment: 0.000 μB per atom


No. 4
Here is a relaxed structure of TeAs2Pt from the Alexandria database. Energies are from PBEsol.

abc: 3.675 4.154 11.136
angles: 90.00 90.00 90.00
Space group Imm2 (No. 44)
Unique sites:
Te  0.000  0.000  0.000 [2 per cell]
As  0.000  0.000  0.659 [2 per cell]
As  0.000  0.500  0.809 [2 per cell]
Pt  0.000  0.500  0.321 [2 per cell]

Output
* E_form (uncorrected): 23.0 meV/atom
* total moment: 0.000 μB per atom